{"formula": "FeNiMo", "functional": "PBE-GGA", "state": "optimized geometry", "magnetic_moment_mub_per_fu": 1.413, "delta_e_f_ev_per_atom": 0.08, "lattice": [[4.990, 0.000, -0.002], [0.000, 4.474, 0.000], [-4.244, 0.000, 6.760]], "species": ["Ni", "Ni", "Ni", "Ni", "Mo", "Mo", "Mo", "Mo", "Fe", "Fe", "Fe", "Fe"], "frac_coords": [[0.865, 0.821, 0.463], [0.365, 0.179, 0.963], [0.865, 0.321, 0.963], [0.365, 0.679, 0.463], [0.873, 0.323, 0.299], [0.373, 0.677, 0.799], [0.873, 0.823, 0.799], [0.373, 0.177, 0.299], [0.352, 0.681, 0.134], [0.852, 0.319, 0.634], [0.352, 0.181, 0.634], [0.852, 0.819, 0.134]]}

=====

{"formula": "NdErC", "functional": "PBE-GGA", "state": "optimized geometry", "magnetic_moment_mub_per_fu": 0.000, "delta_e_f_ev_per_atom": -0.18, "lattice": [[3.604, 0.000, 0.000], [-1.802, 3.121, 0.000], [0.000, 0.000, 6.451]], "species": ["C", "Nd", "Er"], "frac_coords": [[0.667, 0.333, 0.346], [0.000, 0.000, 0.113], [0.333, 0.667, 0.540]]}